--- one ---
TmMg3Zn8 | PBE | optimized geometry

Calculated density (g cm⁻³): 6.2

The structure in extended XYZ format:
```
12
Lattice="-3.818 1.196 -3.371 -1.127 -0.837 5.040 1.178 8.471 1.671" Properties=species:S:1:pos:R:3 pbc="T T T"
Zn -2.018 -0.117 2.245
Zn -1.433 4.094 3.075
Zn -3.222 2.199 2.360
Zn -1.035 6.993 -0.406
Zn -3.469 7.170 0.415
Zn -1.590 6.581 2.074
Zn -1.275 1.589 4.079
Zn -0.701 2.017 1.509
Mg -2.415 4.155 0.150
Mg -2.851 1.023 -0.468
Mg 1.102 7.925 1.564
Tm 0.661 4.755 0.938
```


--- two ---
TmMg3Zn8 | PBE | optimized geometry

Calculated density (g cm⁻³): 6.1

The structure in extended XYZ format:
```
12
Lattice="5.286 0.000 0.000 2.643 4.578 0.000 2.643 1.526 8.588" Properties=species:S:1:pos:R:3 pbc="T T T"
Zn 5.286 4.585 1.576
Zn 6.613 2.285 1.576
Zn 3.958 2.285 1.576
Zn 7.929 4.578 8.042
Zn 7.929 3.051 5.928
Zn 9.251 5.341 5.928
Zn 6.606 5.341 5.928
Zn 2.643 1.526 3.755
Mg 5.286 3.052 7.539
Mg 5.286 3.052 4.358
Mg 2.643 1.526 8.564
Tm 7.929 4.578 3.198
```


Relative energies, meV per atom: one 0; two 6.


--- one ---
TmMg4Zr | PBE | optimized geometry

Calculated density (g cm⁻³): 4.2

The structure in extended XYZ format:
```
6
Lattice="3.122 -0.425 0.069 0.681 5.054 0.290 -3.383 -0.045 8.737" Properties=species:S:1:pos:R:3 pbc="T T T"
Mg 1.868 2.238 1.597
Mg -1.448 2.346 7.500
Mg -1.061 4.951 6.182
Mg 1.481 -0.366 2.914
Zr 0.000 0.000 0.000
Tm 0.210 2.292 4.548
```


--- two ---
TmMg4Zr | PBE | optimized geometry

Calculated density (g cm⁻³): 4.2

The structure in extended XYZ format:
```
6
Lattice="-4.572 3.623 -0.560 -2.812 0.400 -5.127 -5.414 -2.176 -0.551" Properties=species:S:1:pos:R:3 pbc="T T T"
Mg -5.286 2.249 -3.625
Mg -6.593 0.955 -1.326
Mg -5.709 -0.665 -3.621
Mg -8.006 1.155 -3.902
Tm -3.199 0.462 -1.559
Zr 0.000 0.000 0.000
```


Relative energies, meV per atom: one 0; two 34.


--- one ---
Tm2MgZr | PBE | optimized geometry

Calculated density (g cm⁻³): 7.2

The structure in extended XYZ format:
```
4
Lattice="5.300 0.000 0.000 2.650 4.590 0.000 2.650 1.530 4.327" Properties=species:S:1:pos:R:3 pbc="T T T"
Mg 5.300 3.060 2.164
Tm 2.650 1.530 1.082
Tm 7.949 4.590 3.245
Zr 0.000 0.000 0.000
```


--- two ---
Tm2MgZr | PBE | optimized geometry

Calculated density (g cm⁻³): 7.3

The structure in extended XYZ format:
```
4
Lattice="-2.358 -2.992 2.686 2.864 -3.487 -1.370 2.889 0.957 3.603" Properties=species:S:1:pos:R:3 pbc="T T T"
Mg -1.179 -1.496 1.343
Tm 1.432 -1.744 -0.685
Tm 1.444 0.479 1.801
Zr 1.697 -2.761 2.459
```


Relative energies, meV per atom: one 47; two 0.


--- one ---
TmMg2Zr | PBE | optimized geometry

Calculated density (g cm⁻³): 5.2

The structure in extended XYZ format:
```
4
Lattice="3.208 0.000 0.000 1.604 2.778 0.000 1.604 0.926 11.030" Properties=species:S:1:pos:R:3 pbc="T T T"
Mg 1.604 0.926 8.179
Mg 1.604 0.926 2.855
Zr 3.208 1.852 5.525
Tm 4.812 2.778 11.016
```


--- two ---
TmMg2Zr | PBE | optimized geometry

Calculated density (g cm⁻³): 5.4

The structure in extended XYZ format:
```
4
Lattice="-0.513 4.916 1.372 -1.783 3.431 -3.371 -4.677 2.015 0.621" Properties=species:S:1:pos:R:3 pbc="T T T"
Tm 0.000 0.000 0.000
Mg -1.743 2.590 -0.345
Mg -5.230 7.771 -1.034
Zr -3.487 5.181 -0.689
```


Relative energies, meV per atom: one 62; two 0.


--- one ---
TmMg2Zr | PBE | optimized geometry

Calculated density (g cm⁻³): 5.2

The structure in extended XYZ format:
```
4
Lattice="-2.849 -1.017 1.361 1.698 -1.634 2.334 -0.122 7.312 5.208" Properties=species:S:1:pos:R:3 pbc="T T T"
Tm -0.062 3.717 2.647
Mg 0.000 0.003 0.002
Mg -0.604 0.385 3.065
Zr -0.668 4.212 5.792
```


--- two ---
TmMg2Zr | PBE | optimized geometry

Calculated density (g cm⁻³): 5.2

The structure in extended XYZ format:
```
4
Lattice="-2.976 1.091 -0.716 -2.503 -0.707 1.949 0.094 9.126 6.142" Properties=species:S:1:pos:R:3 pbc="T T T"
Mg -4.022 7.210 5.580
Mg -1.363 2.300 1.794
Tm -2.693 4.755 3.687
Zr 0.000 0.000 0.000
```


--- three ---
TmMg2Zr | PBE | optimized geometry

Calculated density (g cm⁻³): 5.4

The structure in extended XYZ format:
```
4
Lattice="3.597 0.000 0.000 0.000 3.597 0.000 0.000 0.000 7.405" Properties=species:S:1:pos:R:3 pbc="T T T"
Zr 1.799 1.799 0.000
Tm 1.799 1.799 3.703
Mg 0.000 0.000 1.732
Mg 0.000 0.000 5.673
```


Relative energies, meV per atom: one 0; two 130; three 68.


--- one ---
MgZr2U | PBE | optimized geometry

Calculated density (g cm⁻³): 8.2

The structure in extended XYZ format:
```
4
Lattice="4.068 0.000 0.000 0.000 4.695 0.000 0.000 0.000 4.695" Properties=species:S:1:pos:R:3 pbc="T T T"
Mg 2.034 0.000 0.000
U 2.034 2.348 2.348
Zr 0.000 2.348 0.000
Zr 0.000 0.000 2.348
```


--- two ---
MgZr2U | PBE | optimized geometry

Calculated density (g cm⁻³): 8.3

The structure in extended XYZ format:
```
4
Lattice="-3.123 2.360 -3.135 -4.480 -1.994 -1.049 -4.175 2.147 1.764" Properties=species:S:1:pos:R:3 pbc="T T T"
Mg -5.889 1.257 -1.210
Zr -8.834 1.885 -1.815
Zr -2.945 0.628 -0.605
U 0.000 0.000 0.000
```


Relative energies, meV per atom: one 0; two 93.


--- one ---
Mg7V | PBE | optimized geometry

Calculated density (g cm⁻³): 2.1

The structure in extended XYZ format:
```
8
Lattice="0.880 -3.297 5.251 3.304 2.453 4.720 -2.887 1.706 5.289" Properties=species:S:1:pos:R:3 pbc="T T T"
Mg -1.444 0.853 2.644
Mg 1.652 1.226 2.360
Mg 0.209 2.079 5.005
Mg -1.004 -0.796 5.270
Mg 0.440 -1.648 2.626
Mg 0.649 0.431 7.630
Mg 2.092 -0.422 4.986
V 0.000 0.000 0.000
```


--- two ---
Mg7V | PBE | optimized geometry

Calculated density (g cm⁻³): 2.1

The structure in extended XYZ format:
```
8
Lattice="-4.698 -0.180 4.152 4.202 -4.653 -0.185 2.892 2.478 3.380" Properties=species:S:1:pos:R:3 pbc="T T T"
Mg 0.353 -2.067 5.048
Mg -0.259 -2.411 1.989
Mg -2.591 -2.500 4.049
Mg -2.344 -0.102 2.081
Mg -1.820 0.339 5.144
Mg 0.610 0.432 2.997
Mg 2.681 -1.923 2.951
V 0.000 0.000 0.000
```


Relative energies, meV per atom: one 18; two 0.


--- one ---
Mg2VW | PBE | optimized geometry

Calculated density (g cm⁻³): 6.7

The structure in extended XYZ format:
```
4
Lattice="4.038 -2.130 0.791 2.983 1.758 3.078 0.723 -2.173 4.028" Properties=species:S:1:pos:R:3 pbc="T T T"
Mg 5.808 -1.909 5.922
Mg 1.936 -0.636 1.974
W 3.872 -1.273 3.948
V 0.000 0.000 0.000
```


--- two ---
Mg2VW | PBE | optimized geometry

Calculated density (g cm⁻³): 6.5

The structure in extended XYZ format:
```
8
Lattice="7.387 0.000 0.000 0.000 7.387 0.000 3.693 3.693 2.637" Properties=species:S:1:pos:R:3 pbc="T T T"
V 3.693 3.693 0.000
V 3.693 7.387 1.318
Mg 5.540 5.596 1.977
Mg 9.234 9.177 1.977
Mg 1.903 5.540 0.659
Mg 5.484 1.847 0.659
W 0.000 0.000 0.000
W 7.387 3.693 1.318
```


Relative energies, meV per atom: one 0; two 267.